## MgBe3 (PBE-GGA)

Data for MgBe3 after structural relaxation.

The excess energy over the best structure of this formula in the dataset comes out at 1.845 eV per atom. Its formation enthalpy at 0 K is 190.3 kJ per mole of atoms.

Lattice parameters (Å, degrees): 4.7281 4.7281 4.7281 90.00 90.00 90.00
Last column: nearest neighbours and their distance in Å.
Fractional positions:
Mg 0.0000 0.0000 0.0000  6 Be 2.36
Be 0.0000 0.0000 0.5000  2 Mg 2.36
Be 0.0000 0.5000 0.0000  2 Mg 2.36
Be 0.5000 0.0000 0.0000  2 Mg 2.36